# Ba4SiI2Cl | Alexandria | GGA-PBE | relaxed
# ΔE_f (raw) = -125 kJ/mol of atoms
# Fermi-level density of states = 3.37 states/eV/cell
# Size of the total moment = 0.00 μB/atom
# Symmetry = P2/m (10)
data_Ba4SiI2Cl
_cell_length_a 4.869
_cell_length_b 8.218
_cell_length_c 8.761
_cell_angle_alpha 108.77
_cell_angle_beta 90.00
_cell_angle_gamma 90.00
_symmetry_space_group_name_H-M 'P 1'
_symmetry_Int_Tables_number 1
loop_
_symmetry_equiv_pos_as_xyz
'x,y,z'
loop_
_atom_site_label
_atom_site_type_symbol
_atom_site_fract_x
_atom_site_fract_y
_atom_site_fract_z
I1 I 0.500 0.000 0.500
I2 I 0.000 0.500 0.500
Si1 Si 0.500 0.500 0.000
Ba1 Ba 0.500 0.253 0.215
Ba2 Ba 0.500 0.747 0.785
Ba3 Ba 0.000 0.728 0.211
Ba4 Ba 0.000 0.272 0.789
Cl1 Cl 0.000 0.000 0.000